## H2Rh2W (PBE)

Data for a geometry-optimized H2Rh2W structure.

Lattice parameters (Å, degrees): 6.100 6.100 2.826 90.00 90.00 90.00
Space group P4/mbm (No. 127)
Unique sites:
H 0.219 0.281 0.000
Rh 0.152 0.652 0.500
W 0.000 0.000 0.000

volume = 10.51 Å³/atom
relative energy among the computed polymorphs = 237 meV/atom


## Sr2UTcO8 (PBE)

Data for a geometry-optimized Sr2UTcO8 structure.

Lattice parameters (Å, degrees): 7.406 7.614 6.723 90.00 90.00 90.00
Space group Cmmm (No. 65)
Unique sites:
Sr 0.000 0.000 0.243
U 0.000 0.500 0.500
Tc 0.000 0.500 0.000
O 0.000 0.330 0.237
O 0.235 0.000 0.500
O 0.245 0.500 0.000

volume = 15.80 Å³/atom
formation energy (no corrections) = -29.62 eV/f.u.


## LaCeDyEr (PBE)

Data for a geometry-optimized LaCeDyEr structure.

Lattice parameters (Å, degrees): 8.078 8.078 8.078 90.00 90.00 90.00
Space group F-43m (No. 216)
Unique sites:
La 0.000 0.000 0.000
Ce 0.000 0.000 0.500
Dy 0.250 0.250 0.750
Er 0.250 0.250 0.250

volume = 32.94 Å³/atom
E = -4.8501 eV/atom


## La3YIn2 (PBE)

Data for a geometry-optimized La3YIn2 structure.

Lattice parameters (Å, degrees): 16.541 5.055 10.542 90.00 119.15 90.00
Space group C2/m (No. 12)
Unique sites:
La 0.040 0.000 0.357
La 0.132 0.500 0.685
La 0.218 0.500 0.384
Y 0.119 0.000 0.069
In 0.008 0.500 0.867
In 0.247 0.000 0.911

volume = 32.08 Å³/atom
relative energy among the computed polymorphs = 94 meV/atom


## KZnGa2Co (PBE)

Data for a geometry-optimized KZnGa2Co structure.

Lattice parameters (Å, degrees): 4.628 4.628 5.804 90.00 90.00 90.00
Space group P4/mmm (No. 123)
Unique sites:
K 0.000 0.000 0.000
Zn 0.500 0.500 0.000
Ga 0.000 0.500 0.500
Co 0.000 0.000 0.500

volume = 24.87 Å³/atom
relative energy among the computed polymorphs = 412 meV/atom


## PmTlHgSb (PBE)

Data for a geometry-optimized PmTlHgSb structure.

Lattice parameters (Å, degrees): 7.711 7.711 7.711 90.00 90.00 90.00
Space group F-43m (No. 216)
Unique sites:
Pm 0.000 0.000 0.000
Tl 0.000 0.000 0.500
Hg 0.250 0.250 0.750
Sb 0.250 0.250 0.250

volume = 28.65 Å³/atom
formation energy (no corrections) = -1.45 eV/f.u.


## Ac2NdTe2S2 (PBE)

Data for a geometry-optimized Ac2NdTe2S2 structure.

Lattice parameters (Å, degrees): 5.264 5.264 16.804 90.00 90.00 90.00
Space group I4/mmm (No. 139)
Unique sites:
Ac 0.000 0.000 0.120
Nd 0.000 0.000 0.500
Te 0.000 0.000 0.315
S 0.000 0.500 0.000

volume = 33.25 Å³/atom
formation energy (no corrections) = -11.23 eV/f.u.


## Pm2Mn2Te2Se3 (PBE)

Data for a geometry-optimized Pm2Mn2Te2Se3 structure.

Lattice parameters (Å, degrees): 4.945 4.945 19.515 90.00 90.00 90.00
Space group I4/mmm (No. 139)
Unique sites:
Pm 0.000 0.000 0.171
Mn 0.000 0.500 0.000
Te 0.000 0.000 0.404
Se 0.000 0.000 0.000
Se 0.000 0.500 0.250

volume = 26.51 Å³/atom
formation energy (no corrections) = -7.89 eV/f.u.


Repeat the seventh record exactly.
## Ac2NdTe2S2 (PBE)

Data for a geometry-optimized Ac2NdTe2S2 structure.

Lattice parameters (Å, degrees): 5.264 5.264 16.804 90.00 90.00 90.00
Space group I4/mmm (No. 139)
Unique sites:
Ac 0.000 0.000 0.120
Nd 0.000 0.000 0.500
Te 0.000 0.000 0.315
S 0.000 0.500 0.000

volume = 33.25 Å³/atom
formation energy (no corrections) = -11.23 eV/f.u.


Question: What is the formula in the fourth record?
Answer: La3YIn2


Please write out number 2 again, unchanged.
## Sr2UTcO8 (PBE)

Data for a geometry-optimized Sr2UTcO8 structure.

Lattice parameters (Å, degrees): 7.406 7.614 6.723 90.00 90.00 90.00
Space group Cmmm (No. 65)
Unique sites:
Sr 0.000 0.000 0.243
U 0.000 0.500 0.500
Tc 0.000 0.500 0.000
O 0.000 0.330 0.237
O 0.235 0.000 0.500
O 0.245 0.500 0.000

volume = 15.80 Å³/atom
formation energy (no corrections) = -29.62 eV/f.u.


Question: Which value of volume does entry 3 give?
Answer: 32.94 Å³/atom